The following is a PBE-GGA calculation of BaMg4CdAg2 after structural relaxation, from Alexandria via LeMat-Bulk.

abc: 4.771 4.771 10.836
angles: 77.28 77.28 60.00
Fractional coordinates of all 8 atoms:
1 Cd 0.500 0.500 0.500
2 Mg 0.410 0.410 0.771
3 Ag 0.235 0.235 0.294
4 Ba 0.000 0.000 0.000
5 Mg 0.868 0.868 0.396
6 Mg 0.132 0.132 0.604
7 Mg 0.590 0.590 0.229
8 Ag 0.765 0.765 0.706

**E_form**: -0.12 eV/atom
**Symmetry**: R-3m



The following is a PBE-GGA calculation of V2NiH after structural relaxation, from Alexandria via LeMat-Bulk.

abc: 3.943 3.943 3.943
angles: 60.00 60.00 60.00
Fractional coordinates of all 4 atoms:
1 V 0.250 0.250 0.250
2 Ni 0.500 0.500 0.500
3 H 0.000 0.000 0.000
4 V 0.750 0.750 0.750

**VASP energy**: -6.481 eV/atom
**Symmetry**: Fm-3m



The following is a PBE-GGA calculation of RbLaY4S8 after structural relaxation, from Alexandria via LeMat-Bulk.

abc: 8.268 8.268 8.456
angles: 60.73 60.73 60.00
Fractional coordinates of all 14 atoms:
1 S 0.232 0.752 0.265
2 S 0.239 0.239 0.718
3 Y 0.004 0.487 0.504
4 S 0.230 0.230 0.310
5 S 0.805 0.239 0.718
6 Rb 0.370 0.370 0.889
7 S 0.239 0.805 0.718
8 S 0.752 0.752 0.265
9 S 0.757 0.757 0.730
10 Y 0.626 0.626 0.123
11 La 0.004 0.004 0.987
12 Y 0.487 0.004 0.504
13 S 0.752 0.232 0.265
14 Y 0.004 0.004 0.504

**Raw formation energy**: -1.923 eV/atom
**Symmetry**: R3m